Record 1
# Dy2MgGe2

A geometry-optimized Dy2MgGe2 structure (PBE, the Alexandria database).

Results
Energy of formation from the pure elements: -781 meV/atom
Total DFT energy (no corrections): -0.1760 hartree per atom
Crystal system: tetragonal
Spin magnetization: 0.00 μB per formula unit

CIF file:
```
data_Dy2MgGe2
_cell_length_a 7.2687
_cell_length_b 7.2687
_cell_length_c 4.2457
_cell_angle_alpha 90.00
_cell_angle_beta 90.00
_cell_angle_gamma 90.00
_symmetry_space_group_name_H-M 'P 4/m b m'
_symmetry_Int_Tables_number 127
_symmetry_space_group_name_Hall '-P 4 2ab'
loop_
_atom_site_label
_atom_site_type_symbol
_atom_site_fract_x
_atom_site_fract_y
_atom_site_fract_z
Dy1 Dy 0.1773 0.3227 0.0000
Mg1 Mg 0.0000 0.0000 0.5000
Ge1 Ge 0.1236 0.6236 0.5000
```

---

Record 2
# DyMgGe2

A geometry-optimized DyMgGe2 structure (PBE, the Alexandria database).

Results
Energy of formation from the pure elements: -359 meV/atom
Total DFT energy (no corrections): -0.1550 hartree per atom
Crystal system: tetragonal
Spin magnetization: 0.00 μB per formula unit
ΔE to the lowest computed polymorph: 118 meV/atom

CIF file:
```
data_DyMgGe2
_cell_length_a 3.5847
_cell_length_b 3.5847
_cell_length_c 6.4632
_cell_angle_alpha 90.00
_cell_angle_beta 90.00
_cell_angle_gamma 90.00
_symmetry_space_group_name_H-M 'P 4/m m m'
_symmetry_Int_Tables_number 123
_symmetry_space_group_name_Hall '-P 4 2'
loop_
_atom_site_label
_atom_site_type_symbol
_atom_site_fract_x
_atom_site_fract_y
_atom_site_fract_z
Dy1 Dy 0.0000 0.0000 0.0000
Mg1 Mg 0.0000 0.0000 0.5000
Ge1 Ge 0.5000 0.5000 0.2830
```

---

Record 3
# NdDyMgGe

A geometry-optimized NdDyMgGe structure (PBE, the Alexandria database).

Results
Energy of formation from the pure elements: -359 meV/atom
Total DFT energy (no corrections): -0.1564 hartree per atom
Crystal system: cubic
Spin magnetization: 0.00 μB per formula unit

CIF file:
```
data_NdDyMgGe
_cell_length_a 7.3694
_cell_length_b 7.3694
_cell_length_c 7.3694
_cell_angle_alpha 90.00
_cell_angle_beta 90.00
_cell_angle_gamma 90.00
_symmetry_space_group_name_H-M 'F -4 3 m'
_symmetry_Int_Tables_number 216
_symmetry_space_group_name_Hall 'F -4 2 3'
loop_
_atom_site_label
_atom_site_type_symbol
_atom_site_fract_x
_atom_site_fract_y
_atom_site_fract_z
Nd1 Nd 0.0000 0.0000 0.0000
Dy1 Dy 0.0000 0.0000 0.5000
Mg1 Mg 0.2500 0.2500 0.2500
Ge1 Ge 0.2500 0.2500 0.7500
```

---

Record 4
# Dy2MgNi3Ge4

A geometry-optimized Dy2MgNi3Ge4 structure (PBE, the Alexandria database).

Results
Energy of formation from the pure elements: -629 meV/atom
Total DFT energy (no corrections): -0.1944 hartree per atom
Crystal system: tetragonal
Spin magnetization: 0.00 μB per formula unit

CIF file:
```
data_Dy2MgNi3Ge4
_cell_length_a 4.0681
_cell_length_b 4.0681
_cell_length_c 10.3570
_cell_angle_alpha 90.00
_cell_angle_beta 90.00
_cell_angle_gamma 90.00
_symmetry_space_group_name_H-M 'P -4 m 2'
_symmetry_Int_Tables_number 115
_symmetry_space_group_name_Hall 'P -4 -2'
loop_
_atom_site_label
_atom_site_type_symbol
_atom_site_fract_x
_atom_site_fract_y
_atom_site_fract_z
Dy1 Dy 0.0000 0.5000 0.2362
Mg1 Mg 0.0000 0.0000 0.5000
Ni1 Ni 0.0000 0.5000 0.8795
Ni2 Ni 0.5000 0.5000 0.5000
Ge1 Ge 0.0000 0.0000 0.0000
Ge2 Ge 0.0000 0.5000 0.6541
Ge3 Ge 0.5000 0.5000 0.0000
```

---

Record 5
# DyMgNi5Ge2

A geometry-optimized DyMgNi5Ge2 structure (PBE, the Alexandria database).

Results
Energy of formation from the pure elements: -273 meV/atom
Total DFT energy (no corrections): -0.1911 hartree per atom
Crystal system: tetragonal
Spin magnetization: 0.00 μB per formula unit

CIF file:
```
data_DyMgNi5Ge2
_cell_length_a 3.9537
_cell_length_b 3.9537
_cell_length_c 8.6278
_cell_angle_alpha 90.00
_cell_angle_beta 90.00
_cell_angle_gamma 90.00
_symmetry_space_group_name_H-M 'P 4/m m m'
_symmetry_Int_Tables_number 123
_symmetry_space_group_name_Hall '-P 4 2'
loop_
_atom_site_label
_atom_site_type_symbol
_atom_site_fract_x
_atom_site_fract_y
_atom_site_fract_z
Dy1 Dy 0.0000 0.0000 0.0000
Mg1 Mg 0.0000 0.0000 0.5000
Ni1 Ni 0.0000 0.5000 0.2208
Ni2 Ni 0.5000 0.5000 0.0000
Ge1 Ge 0.5000 0.5000 0.3586
```

---

Record 6
# DyMgGe2Pd5

A geometry-optimized DyMgGe2Pd5 structure (PBE, the Alexandria database).

Results
Energy of formation from the pure elements: -655 meV/atom
Total DFT energy (no corrections): -0.1931 hartree per atom
Crystal system: tetragonal
Spin magnetization: 0.00 μB per formula unit

CIF file:
```
data_DyMgGe2Pd5
_cell_length_a 4.1899
_cell_length_b 4.1899
_cell_length_c 9.0824
_cell_angle_alpha 90.00
_cell_angle_beta 90.00
_cell_angle_gamma 90.00
_symmetry_space_group_name_H-M 'P 4/m m m'
_symmetry_Int_Tables_number 123
_symmetry_space_group_name_Hall '-P 4 2'
loop_
_atom_site_label
_atom_site_type_symbol
_atom_site_fract_x
_atom_site_fract_y
_atom_site_fract_z
Dy1 Dy 0.0000 0.0000 0.0000
Mg1 Mg 0.0000 0.0000 0.5000
Ge1 Ge 0.5000 0.5000 0.3689
Pd1 Pd 0.0000 0.5000 0.2283
Pd2 Pd 0.5000 0.5000 0.0000
```

---

Record 7
# DyMgGe2Pd2

A geometry-optimized DyMgGe2Pd2 structure (PBE, the Alexandria database).

Results
Energy of formation from the pure elements: -751 meV/atom
Total DFT energy (no corrections): -0.1857 hartree per atom
Crystal system: trigonal
Spin magnetization: 0.00 μB per formula unit

CIF file:
```
data_DyMgGe2Pd2
_cell_length_a 4.3466
_cell_length_b 4.3466
_cell_length_c 6.7450
_cell_angle_alpha 90.00
_cell_angle_beta 90.00
_cell_angle_gamma 120.00
_symmetry_space_group_name_H-M 'P -3 m 1'
_symmetry_Int_Tables_number 164
_symmetry_space_group_name_Hall '-P 3 2"'
loop_
_atom_site_label
_atom_site_type_symbol
_atom_site_fract_x
_atom_site_fract_y
_atom_site_fract_z
Dy1 Dy 0.0000 0.0000 0.0000
Mg1 Mg 0.0000 0.0000 0.5000
Ge1 Ge 0.3333 0.6667 0.2620
Pd1 Pd 0.3333 0.6667 0.6826
```

---

Record 8
# DyMgGePd

A geometry-optimized DyMgGePd structure (PBE, the Alexandria database).

Results
Energy of formation from the pure elements: -664 meV/atom
Total DFT energy (no corrections): -0.1715 hartree per atom
Crystal system: cubic
Spin magnetization: 0.00 μB per formula unit

CIF file:
```
data_DyMgGePd
_cell_length_a 6.7996
_cell_length_b 6.7996
_cell_length_c 6.7996
_cell_angle_alpha 90.00
_cell_angle_beta 90.00
_cell_angle_gamma 90.00
_symmetry_space_group_name_H-M 'F -4 3 m'
_symmetry_Int_Tables_number 216
_symmetry_space_group_name_Hall 'F -4 2 3'
loop_
_atom_site_label
_atom_site_type_symbol
_atom_site_fract_x
_atom_site_fract_y
_atom_site_fract_z
Dy1 Dy 0.0000 0.0000 0.0000
Mg1 Mg 0.0000 0.0000 0.5000
Ge1 Ge 0.2500 0.2500 0.2500
Pd1 Pd 0.2500 0.2500 0.7500
```

---

Record 9
# Dy2MgGe3Pd4

A geometry-optimized Dy2MgGe3Pd4 structure (PBE, the Alexandria database).

Results
Energy of formation from the pure elements: -777 meV/atom
Total DFT energy (no corrections): -0.1955 hartree per atom
Crystal system: tetragonal
Spin magnetization: 0.00 μB per formula unit

CIF file:
```
data_Dy2MgGe3Pd4
_cell_length_a 4.2146
_cell_length_b 4.2146
_cell_length_c 10.6481
_cell_angle_alpha 90.00
_cell_angle_beta 90.00
_cell_angle_gamma 90.00
_symmetry_space_group_name_H-M 'P -4 m 2'
_symmetry_Int_Tables_number 115
_symmetry_space_group_name_Hall 'P -4 -2'
loop_
_atom_site_label
_atom_site_type_symbol
_atom_site_fract_x
_atom_site_fract_y
_atom_site_fract_z
Dy1 Dy 0.0000 0.5000 0.2376
Mg1 Mg 0.0000 0.0000 0.5000
Ge1 Ge 0.0000 0.5000 0.8680
Ge2 Ge 0.5000 0.5000 0.5000
Pd1 Pd 0.0000 0.0000 0.0000
Pd2 Pd 0.0000 0.5000 0.6413
Pd3 Pd 0.5000 0.5000 0.0000
```

---

Record 10
# DyMgGe2Pt5

A geometry-optimized DyMgGe2Pt5 structure (PBE, the Alexandria database).

Results
Energy of formation from the pure elements: -771 meV/atom
Total DFT energy (no corrections): -0.2147 hartree per atom
Crystal system: tetragonal
Spin magnetization: 0.00 μB per formula unit

CIF file:
```
data_DyMgGe2Pt5
_cell_length_a 4.1498
_cell_length_b 4.1498
_cell_length_c 8.9789
_cell_angle_alpha 90.00
_cell_angle_beta 90.00
_cell_angle_gamma 90.00
_symmetry_space_group_name_H-M 'P 4/m m m'
_symmetry_Int_Tables_number 123
_symmetry_space_group_name_Hall '-P 4 2'
loop_
_atom_site_label
_atom_site_type_symbol
_atom_site_fract_x
_atom_site_fract_y
_atom_site_fract_z
Dy1 Dy 0.0000 0.0000 0.0000
Mg1 Mg 0.0000 0.0000 0.5000
Ge1 Ge 0.5000 0.5000 0.1346
Pt1 Pt 0.0000 0.5000 0.2824
Pt2 Pt 0.5000 0.5000 0.5000
```

---

Record 11
# DyMgGePt

A geometry-optimized DyMgGePt structure (PBE, the Alexandria database).

Results
Energy of formation from the pure elements: -754 meV/atom
Total DFT energy (no corrections): -0.1826 hartree per atom
Crystal system: cubic
Spin magnetization: 0.00 μB per formula unit

CIF file:
```
data_DyMgGePt
_cell_length_a 6.8024
_cell_length_b 6.8024
_cell_length_c 6.8024
_cell_angle_alpha 90.00
_cell_angle_beta 90.00
_cell_angle_gamma 90.00
_symmetry_space_group_name_H-M 'F -4 3 m'
_symmetry_Int_Tables_number 216
_symmetry_space_group_name_Hall 'F -4 2 3'
loop_
_atom_site_label
_atom_site_type_symbol
_atom_site_fract_x
_atom_site_fract_y
_atom_site_fract_z
Dy1 Dy 0.0000 0.0000 0.0000
Mg1 Mg 0.0000 0.0000 0.5000
Ge1 Ge 0.2500 0.2500 0.7500
Pt1 Pt 0.2500 0.2500 0.2500
```

---

Record 12
# DyPuMgGe

A geometry-optimized DyPuMgGe structure (PBE, the Alexandria database).

Results
Energy of formation from the pure elements: -215 meV/atom
Total DFT energy (no corrections): -0.2389 hartree per atom
Crystal system: cubic
Spin magnetization: 6.32 μB per formula unit

CIF file:
```
data_DyPuMgGe
_cell_length_a 7.2724
_cell_length_b 7.2724
_cell_length_c 7.2724
_cell_angle_alpha 90.00
_cell_angle_beta 90.00
_cell_angle_gamma 90.00
_symmetry_space_group_name_H-M 'F -4 3 m'
_symmetry_Int_Tables_number 216
_symmetry_space_group_name_Hall 'F -4 2 3'
loop_
_atom_site_label
_atom_site_type_symbol
_atom_site_fract_x
_atom_site_fract_y
_atom_site_fract_z
Dy1 Dy 0.0000 0.0000 0.0000
Pu1 Pu 0.0000 0.0000 0.5000
Mg1 Mg 0.2500 0.2500 0.7500
Ge1 Ge 0.2500 0.2500 0.2500
```